Ac5Pa2Te12 (PBE, optimized geometry); energy relative to the elements, uncorrected = -1.2975 eV per atom; space group = C2/m, No. 12
1.0
9.178 -4.279 0.000
9.178 4.279 0.000
-3.145 0.000 10.048
Ac Pa Te
5 2 12
Cartesian
0.000 0.000 0.000
4.984 0.000 1.405
3.657 0.000 6.754
11.555 0.000 3.294
10.228 0.000 8.643
7.606 2.065 5.024
7.606 -2.065 5.024
-0.948 0.000 3.102
4.744 2.055 4.151
3.524 2.121 9.381
11.688 2.121 0.667
10.467 2.055 5.897
8.205 0.000 2.822
7.007 0.000 7.226
4.744 -2.055 4.151
3.524 -2.121 9.381
11.688 -2.121 0.667
10.467 -2.055 5.897
16.160 0.000 6.946